## LaRhSeN2 (GGA-PBE)

Data for a relaxed LaRhSeN2 crystal.

abc: 4.1118 4.1118 4.9544
angles: 90.00 90.00 90.00
With the nearest neighbours (Å) after each atom.
Fractional positions:
La (0.0000, 0.0000, 0.0000)  4 Se 2.91, 8 N 3.22
Rh (0.5000, 0.5000, 0.5000)  4 N 2.06
Se (0.5000, 0.5000, 0.0000)  2 Rh 2.48
N (0.0000, 0.5000, 0.5000)  2 Rh 2.06
N (0.5000, 0.0000, 0.5000)  2 Rh 2.06

**Raw total energy**: -6.42 eV/atom
**ΔE to the lowest computed polymorph**: 0 meV per atom
**Space-group type**: P4/mmm, No. 123
**Density of states at the Fermi level**: 4.04 states/eV per cell